Entry from Alexandria via LeMat-Bulk: a relaxed Rb3AcV2O8 crystal (PBE+U).

```
data_Rb3AcV2O8
_chemical_formula_sum 'Rb3 Ac1 V2 O8'
_symmetry_space_group_name_H-M 'P -3 m 1'
_symmetry_Int_Tables_number 164
_symmetry_space_group_name_Hall '-P 3 2"'
_cell_length_a 6.3038
_cell_length_b 6.3038
_cell_length_c 8.2240
_cell_angle_alpha 90.00
_cell_angle_beta 90.00
_cell_angle_gamma 120.00
loop_
_atom_site_label
_atom_site_type_symbol
_atom_site_fract_x
_atom_site_fract_y
_atom_site_fract_z
Rb1 Rb 0.0000 0.0000 0.0000
Rb2 Rb 0.3333 0.6667 0.7094
Ac1 Ac 0.0000 0.0000 0.5000
V1 V 0.3333 0.6667 0.2442
O1 O 0.1808 0.3617 0.3171
O2 O 0.3333 0.6667 0.0392
```

Total magnetization ... 0.00 Bohr magnetons per cell
V ... 283.0 Å³ per cell
E_tot ... -6.693 eV per atom